# 1
The following is a DFT calculation (GGA-PBE) of BaScZn3GaO7 after structural relaxation.

Geometry as POSCAR:
```
BaScZn3GaO7
1.0
6.216 0.000 0.000
-3.108 5.383 0.000
0.000 0.000 10.102
Ba Sc Zn Ga O
2 2 6 2 14
Direct
0.333 0.667 0.000
0.667 0.333 0.500
0.333 0.667 0.367
0.667 0.333 0.867
0.173 0.346 0.685
0.173 0.827 0.685
0.346 0.173 0.185
0.654 0.827 0.685
0.827 0.173 0.185
0.827 0.654 0.185
0.000 0.000 0.435
0.000 0.000 0.935
0.000 0.000 0.251
0.000 0.000 0.751
0.016 0.508 0.253
0.165 0.330 0.490
0.165 0.835 0.490
0.330 0.165 0.990
0.492 0.508 0.253
0.492 0.984 0.253
0.508 0.016 0.753
0.508 0.492 0.753
0.670 0.835 0.490
0.835 0.165 0.990
0.835 0.670 0.990
0.984 0.492 0.753
```

Properties
ρ, g/cm3: 5.50
Total DFT energy (no corrections), eV per atom: -5.970
Calculated volume, A^3/atom: 13.00

# 2
The following is a DFT calculation (GGA-PBE) of MgSiIr2 after structural relaxation.

Geometry as POSCAR:
```
MgSiIr2
1.0
0.000 3.017 3.017
3.017 0.000 3.017
3.017 3.017 0.000
Mg Si Ir
1 1 2
Direct
0.000 0.000 0.000
0.500 0.500 0.500
0.250 0.250 0.250
0.750 0.750 0.750
```

Properties
ρ, g/cm3: 13.21
Total DFT energy (no corrections), eV per atom: -6.718
Calculated volume, A^3/atom: 13.73